Entry 1:
Density functional theory data (PBE-GGA) for an optimized crystal structure of BaHo2Cd.

Lattice parameters (Å, degrees): 3.7983 3.7983 9.6171 90.00 90.00 90.00
Element x y z (fractional)
Ho 0.0000 0.0000 0.1831
Ho 0.0000 0.0000 0.8169
Cd 0.5000 0.5000 0.0000
Ba 0.5000 0.5000 0.5000

Summary:
E = -2.990 eV per atom
energy above the most stable polymorph in this dataset = 0 meV/atom
volume = 138.7 Å³/f.u.
DOS(E_F) = 5.42 states/eV/f.u.

Entry 2:
Density functional theory data (PBE-GGA) for an optimized crystal structure of BaHoCd17.

Lattice parameters (Å, degrees): 7.7623 7.7623 7.7623 82.19 82.19 82.19
Element x y z (fractional)
Cd 0.3491 0.8734 0.3491
Cd 0.0038 0.7001 0.2944
Cd 0.9817 0.5200 0.9817
Cd 0.9099 0.9099 0.9099
Cd 0.1955 0.6217 0.6217
Cd 0.3491 0.3491 0.8734
Cd 0.1077 0.1077 0.1077
Cd 0.6217 0.1955 0.6217
Cd 0.2944 0.7001 0.0038
Cd 0.7001 0.2944 0.0038
Cd 0.6217 0.6217 0.1955
Cd 0.2944 0.0038 0.7001
Cd 0.7001 0.0038 0.2944
Cd 0.9817 0.9817 0.5200
Cd 0.8734 0.3491 0.3491
Cd 0.5200 0.9817 0.9817
Cd 0.0038 0.2944 0.7001
Ba 0.6645 0.6645 0.6645
Ho 0.3273 0.3273 0.3273

Summary:
E = -1.298 eV per atom
volume = 455.8 Å³/f.u.
DOS(E_F) = 7.23 states/eV/f.u.

Entry 3:
Density functional theory data (PBE-GGA) for an optimized crystal structure of BaHo2Cd9.

Lattice parameters (Å, degrees): 6.0884 6.0884 10.1825 72.60 72.60 60.00
Element x y z (fractional)
Cd 0.5923 0.5923 0.7386
Cd 0.6639 0.6639 0.0082
Cd 0.0769 0.5923 0.7386
Cd 0.9231 0.4077 0.2614
Cd 0.4077 0.9231 0.2614
Cd 0.4077 0.4077 0.2614
Cd 0.3361 0.3361 0.9918
Cd 0.5923 0.0769 0.7386
Cd 0.5000 0.5000 0.5000
Ho 0.8524 0.8524 0.4429
Ho 0.1476 0.1476 0.5571
Ba 0.0000 0.0000 0.0000

Summary:
E = -1.848 eV per atom
volume = 306.8 Å³/f.u.
DOS(E_F) = 7.55 states/eV/f.u.

Entry 4:
Density functional theory data (PBE-GGA) for an optimized crystal structure of BaHo2Cd.

Lattice parameters (Å, degrees): 3.6160 3.6160 12.2817 81.53 81.53 60.00
Site moments in Bohr magnetons follow the coordinates.
Element x y z (fractional)
Ho 0.1000 0.1000 0.6999  0.01
Ho 0.9000 0.9000 0.3001  0.01
Ba 0.0000 0.0000 0.0000  0.10
Cd 0.5000 0.5000 0.5000  0.00

Summary:
E = -2.822 eV per atom
energy above the most stable polymorph in this dataset = 168 meV/atom
volume = 137.0 Å³/f.u.
DOS(E_F) = 4.73 states/eV/f.u.

Number 4 is which compound? BaHo2Cd